Material: GdZnPd
Method: DFT, PBE
State: relaxed

The structure belongs to space group P6_3/mmc (No. 194); the cell edges are 4.4685, 4.4685 and 7.1001 Å and the angles 90.00°, 90.00° and 120.00°. The asymmetric unit holds Gd at (0.0000, 0.0000, 0.0000), Zn at (0.3333, 0.6667, 0.2500) and Pd at (0.3333, 0.6667, 0.7500).

Its total magnetic moment is 0.00 μB per atom. For the formation energy, the calculation gives -2.11 eV/f.u.


Material: Rb2CuSe2
Method: DFT, PBE
State: relaxed

The structure belongs to space group C2/m (No. 12); the cell edges are 12.275, 3.753 and 6.921 Å and the angles 90.00°, 103.25° and 90.00°. The asymmetric unit holds Rb at (0.159, 0.000, 0.212), Cu at (0.000, 0.500, 0.500) and Se at (0.103, 0.000, 0.696).


Material: ErAsN2O
Method: DFT, PBE
State: relaxed

The structure belongs to space group P2_1/c (No. 14); the cell edges are 7.821, 7.306 and 10.963 Å and the angles 90.00°, 134.49° and 90.00°. The asymmetric unit holds Er at (0.057, 0.250, 0.033), Er at (0.440, 0.728, 0.477), As at (0.038, 0.002, 0.282), As at (0.481, 0.504, 0.765), N at (0.045, 0.745, 0.723), N at (0.208, 0.551, 0.009), N at (0.291, 0.065, 0.302), N at (0.457, 0.242, 0.177), O at (0.222, 0.552, 0.527) and O at (0.275, 0.042, 0.802).

Its total magnetic moment is 0.00 μB per atom.


Material: NdSe2
Method: DFT, PBE
State: relaxed

The structure belongs to space group Fd-3m (No. 227, origin choice 2); the cell edges are 8.352, 8.352 and 8.352 Å and the angles 90.00°, 90.00° and 90.00°. The asymmetric unit holds Nd at (0.125, 0.125, 0.125) and Se at (0.000, 0.000, 0.500).

Its total magnetic moment is 0.22 μB per atom.


Material: Be2CoSi2NiIr2
Method: DFT, PBE
State: relaxed

The structure belongs to space group P-4m2 (No. 115); the cell edges are 3.979, 3.979 and 5.607 Å and the angles 90.00°, 90.00° and 90.00°. The asymmetric unit holds Be at (0.000, 0.500, 0.250), Co at (0.000, 0.000, 0.500), Si at (0.000, 0.500, 0.747), Ni at (0.500, 0.500, 0.000), Ir at (0.000, 0.000, 0.000) and Ir at (0.500, 0.500, 0.500).

Its total magnetic moment is 0.03 μB per atom.


Material: BaPd4F12
Method: DFT, PBE
State: relaxed

The structure belongs to space group Im-3 (No. 204); the cell edges are 8.160, 8.160 and 8.160 Å and the angles 90.00°, 90.00° and 90.00°. The asymmetric unit holds Ba at (0.000, 0.000, 0.000), Pd at (0.250, 0.250, 0.250) and F at (0.000, 0.243, 0.236).


Material: SrHfAgAu
Method: DFT, PBE
State: relaxed

The structure belongs to space group F-43m (No. 216); the cell edges are 7.203, 7.203 and 7.203 Å and the angles 90.00°, 90.00° and 90.00°. The asymmetric unit holds Sr at (0.000, 0.000, 0.000), Hf at (0.000, 0.000, 0.500), Ag at (0.250, 0.250, 0.750) and Au at (0.250, 0.250, 0.250).

Its total magnetic moment is 0.00 μB per atom.


Material: NdTmAg2Sb4
Method: DFT, PBE
State: relaxed

The structure belongs to space group P4mm (No. 99); the cell edges are 4.358, 4.358 and 10.487 Å and the angles 90.00°, 90.00° and 90.00°. The asymmetric unit holds Nd at (0.000, 0.000, 0.000), Tm at (0.500, 0.500, 0.527), Ag at (0.000, 0.500, 0.270), Sb at (0.000, 0.000, 0.453), Sb at (0.000, 0.500, 0.757) and Sb at (0.500, 0.500, 0.087).

Its total magnetic moment is 0.00 μB per atom.


Material: NaHfInNi
Method: DFT, PBE
State: relaxed

The structure belongs to space group F-43m (No. 216); the cell edges are 6.599, 6.599 and 6.599 Å and the angles 90.00°, 90.00° and 90.00°. The asymmetric unit holds Na at (0.000, 0.000, 0.000), Hf at (0.000, 0.000, 0.500), In at (0.250, 0.250, 0.750) and Ni at (0.250, 0.250, 0.250).

Its total magnetic moment is 0.00 μB per atom.


Material: Ba2IrAu
Method: DFT, PBE
State: relaxed

The structure belongs to space group F-43m (No. 216); the cell edges are 7.518, 7.518 and 7.518 Å and the angles 90.00°, 90.00° and 90.00°. The asymmetric unit holds Ba at (0.000, 0.000, 0.000), Ba at (0.250, 0.250, 0.250), Ir at (0.000, 0.000, 0.500) and Au at (0.250, 0.250, 0.750).

Its total magnetic moment is 0.00 μB per atom.


Material: PrZnInSe3
Method: DFT, PBE
State: relaxed

The structure belongs to space group Pnma (No. 62); the cell edges are 11.881, 4.347 and 12.483 Å and the angles 90.00°, 90.00° and 90.00°. The asymmetric unit holds Pr at (0.021, 0.250, 0.177), Zn at (0.247, 0.750, 0.301), In at (0.169, 0.250, 0.506), Se at (0.045, 0.750, 0.345), Se at (0.105, 0.250, 0.941) and Se at (0.219, 0.750, 0.697).

Its total magnetic moment is 0.00 μB per atom.


Material: ScZnGa
Method: DFT, PBE
State: relaxed

The structure belongs to space group Imm2 (No. 44); the cell edges are 4.315, 6.515 and 7.497 Å and the angles 90.00°, 90.00° and 90.00°. The asymmetric unit holds Sc at (0.000, 0.000, 0.000), Sc at (0.000, 0.500, 0.004), Zn at (0.000, 0.272, 0.669) and Ga at (0.000, 0.260, 0.336).

Its total magnetic moment is 0.03 μB per atom.


Q: Which electronic total energy values were calculated for the entries above? A: -4.40, -3.21, -7.05, -4.23, -6.68, -4.33, -4.50, -4.54, -4.68, -3.94, -4.26, -4.06, in eV/atom.